Entry 1:
Here is a relaxed FeIrAu2 crystal from the Alexandria database. Energies are from PBE.

Cell: 7.162 7.162 5.699 Å, 51.07 51.07 90.00°
Last column: magnetic moment on the atom in μB.
Sites, in units of the cell vectors:
Ir: 0.000 0.000 0.000  -0.04
Ir: 0.750 0.250 0.500  -0.04
Au: 0.606 0.125 0.250  0.02
Au: 0.144 0.625 0.250  0.02
Au: 0.375 0.394 0.750  0.02
Au: 0.875 0.856 0.750  0.02
Fe: 0.500 0.500 0.000  0.07
Fe: 0.250 0.750 0.500  0.06

## Properties
Symmetry = I-42d (122)
V = 16.8 Å³/atom
Energy of formation = 0.94 eV/atom

=====

Entry 2:
Here is a relaxed KGa3I9 crystal from the Alexandria database. Energies are from PBE.

Cell: 11.122 11.619 13.463 Å, 76.22 65.60 61.41°
Last column: magnetic moment on the atom in μB.
Sites, in units of the cell vectors:
K: 0.130 0.424 0.949  0.00
K: 0.496 0.924 0.449  0.00
Ga: 0.805 0.551 0.690  0.05
Ga: 0.954 0.051 0.190  0.05
Ga: 0.014 0.956 0.803  0.05
Ga: 0.227 0.456 0.303  0.05
Ga: 0.601 0.260 0.744  0.00
Ga: 0.395 0.760 0.244  0.00
I: 0.361 0.205 0.271  0.02
I: 0.163 0.705 0.771  0.02
I: 0.497 0.329 0.939  0.00
I: 0.235 0.829 0.439  0.00
I: 0.158 0.090 0.679  0.02
I: 0.072 0.590 0.179  0.02
I: 0.631 0.789 0.178  0.00
I: 0.403 0.289 0.678  0.00
I: 0.826 0.966 0.383  0.03
I: 0.825 0.466 0.883  0.03
I: 0.582 0.779 0.695  0.02
I: 0.943 0.279 0.195  0.02
I: 0.477 0.507 0.230  0.02
I: 0.787 0.007 0.730  0.02
I: 0.755 0.384 0.603  0.01
I: 0.259 0.884 0.103  0.01
I: 0.903 0.018 0.015  0.01
I: 0.064 0.518 0.515  0.01

## Properties
Energy relative to the elements, uncorrected = -0.5748 eV per atom
Symmetry = Cc (9)
V = 53.4 Å³/atom

=====

Entry 3:
Here is a relaxed AsPtSe2 crystal from the Alexandria database. Energies are from PBE.

Cell: 2.873 2.873 10.793 Å, 90.00 90.00 89.58°
Sites, in units of the cell vectors:
As: 0.000 0.000 0.570
Se: 0.000 0.000 0.922
Se: 0.500 0.500 0.282
Pt: 0.500 0.500 0.725

## Properties
Energy relative to the elements, uncorrected = 0.1657 eV per atom
Symmetry = Cmm2 (35)
V = 22.3 Å³/atom

=====

Entry 4:
Here is a relaxed ScAl2TlIr crystal from the Alexandria database. Energies are from PBE.

Cell: 4.787 5.095 4.787 Å, 90.00 90.00 90.00°
Sites, in units of the cell vectors:
Sc: 0.000 0.500 0.000
Tl: 0.500 0.500 0.500
Ir: 0.000 0.000 0.000
Al: 0.000 0.000 0.500
Al: 0.500 0.000 0.000

## Properties
Symmetry = P4/mmm (123)
V = 23.4 Å³/atom
Energy of formation = -0.28 eV/atom

=====

Entry 5:
Here is a relaxed SmYPuMg crystal from the Alexandria database. Energies are from PBE.

Cell: 5.502 5.502 5.502 Å, 60.00 60.00 60.00°
Last column: magnetic moment on the atom in μB.
Sites, in units of the cell vectors:
Y: 0.250 0.250 0.250  0.13
Mg: 0.000 0.000 0.000  -0.01
Sm: 0.750 0.750 0.750  0.13
Pu: 0.500 0.500 0.500  5.55

## Properties
Symmetry = F-43m (216)
V = 29.4 Å³/atom
Energy of formation = 0.15 eV/atom

=====

Entry 6:
Here is a relaxed Be4NiAu3 crystal from the Alexandria database. Energies are from PBE.

Cell: 2.907 2.907 11.441 Å, 90.00 90.00 90.00°
Sites, in units of the cell vectors:
Be: 0.000 0.000 0.902
Be: 0.000 0.000 0.098
Be: 0.000 0.000 0.370
Be: 0.000 0.000 0.630
Au: 0.500 0.500 0.235
Au: 0.500 0.500 0.500
Au: 0.500 0.500 0.765
Ni: 0.500 0.500 0.000

## Properties
Symmetry = P4/mmm (123)
V = 12.1 Å³/atom
Energy of formation = -0.17 eV/atom

=====

Entry 7:
Here is a relaxed AgSb2Br crystal from the Alexandria database. Energies are from PBE.

Cell: 8.270 8.270 8.270 Å, 29.28 29.28 29.28°
Sites, in units of the cell vectors:
Sb: 0.984 0.984 0.984
Sb: 0.247 0.247 0.247
Br: 0.773 0.773 0.773
Ag: 0.496 0.496 0.496

## Properties
Energy relative to the elements, uncorrected = -0.1253 eV per atom
Symmetry = R3m (160)
V = 29.9 Å³/atom

=====

Entry 8:
Here is a relaxed SmY2ThN4 crystal from the Alexandria database. Energies are from PBE.

Cell: 3.563 6.153 6.148 Å, 109.35 90.00 90.00°
Sites, in units of the cell vectors:
Sm: 0.000 0.000 0.000
Y: 0.500 0.000 0.500
Y: 0.000 0.500 0.500
Th: 0.500 0.500 0.000
N: 0.500 0.256 0.254
N: 0.500 0.744 0.746
N: 0.000 0.252 0.747
N: 0.000 0.748 0.253

## Properties
Energy relative to the elements, uncorrected = -1.6240 eV per atom
Symmetry = P2/m (10)
V = 15.9 Å³/atom

=====

Entry 9:
Here is a relaxed RbLaCdFe2 crystal from the Alexandria database. Energies are from PBE.

Cell: 5.052 5.688 5.052 Å, 90.00 90.00 90.00°
Last column: magnetic moment on the atom in μB.
Sites, in units of the cell vectors:
Cd: 0.000 0.000 0.000  0.00
Fe: 0.000 0.000 0.500  -0.49
Fe: 0.500 0.000 0.000  -0.06
Rb: 0.500 0.500 0.500  0.01
La: 0.000 0.500 0.000  0.08

## Properties
Symmetry = P4/mmm (123)
V = 29.0 Å³/atom
Energy of formation = 1.57 eV/atom

=====

Entry 10:
Here is a relaxed Nb2ZnMo crystal from the Alexandria database. Energies are from PBE.

Cell: 3.303 3.303 6.133 Å, 90.00 90.00 90.00°
Sites, in units of the cell vectors:
Zn: 0.500 0.500 0.500
Mo: 0.500 0.500 0.000
Nb: 0.000 0.000 0.753
Nb: 0.000 0.000 0.247

## Properties
Symmetry = P4/mmm (123)
V = 16.7 Å³/atom
Energy of formation = -0.07 eV/atom

=====

Entry 11:
Here is a relaxed MnHg2 crystal from the Alexandria database. Energies are from PBE.

Cell: 8.618 8.618 4.741 Å, 90.00 90.00 159.30°
Last column: magnetic moment on the atom in μB.
Sites, in units of the cell vectors:
Mn: 0.437 0.563 0.750  3.77
Mn: 0.563 0.437 0.250  3.77
Hg: 0.792 0.208 0.750  -0.01
Hg: 0.918 0.082 0.250  -0.04
Hg: 0.082 0.918 0.750  -0.04
Hg: 0.208 0.792 0.250  -0.01

## Properties
Symmetry = Cmcm (63)
V = 20.7 Å³/atom
Energy of formation = 0.28 eV/atom

=====

Entry 12:
Here is a relaxed CoCu2Mo crystal from the Alexandria database. Energies are from PBE.

Cell: 4.781 4.781 2.544 Å, 90.00 90.00 118.21°
Last column: magnetic moment on the atom in μB.
Sites, in units of the cell vectors:
Co: 0.000 0.500 0.500  0.99
Cu: 0.000 0.000 0.000  0.01
Cu: 0.500 0.500 0.000  0.01
Mo: 0.500 0.000 0.500  0.12

## Properties
Symmetry = Cmmm (65)
V = 12.8 Å³/atom
Energy of formation = 0.32 eV/atom